1.
The following is a PBE calculation of IrOs2Ru3 after structural relaxation, from Alexandria.

The structure belongs to space group C2/m (No. 12); the cell edges are 11.514, 3.838 and 8.600 Å and the angles 90.00°, 116.56° and 90.00°. The inequivalent atoms are Ir at (0.126, 0.000, 0.125), Os at (0.043, 0.500, 0.873), Os at (0.206, 0.000, 0.874), Ru at (0.041, 0.000, 0.374), Ru at (0.125, 0.500, 0.626) and Ru at (0.209, 0.500, 0.377).

For the energy, the calculation gives -234.7 eV for the cell shown. The formation energy comes out at 0.079 eV/atom.

2.
The following is a PBE calculation of MoIr2Os after structural relaxation, from Alexandria.

The structure belongs to space group Pnma (No. 62); the cell edges are 4.782, 4.400 and 11.171 Å and the angles 90.00°, 90.00° and 90.00°. The inequivalent atoms are Mo at (0.075, 0.250, 0.185), Ir at (0.085, 0.250, 0.687), Ir at (0.087, 0.250, 0.938) and Os at (0.082, 0.250, 0.441).

For the energy, the calculation gives -162.4 eV for the cell shown. The formation energy comes out at -0.202 eV/atom. For the energy above the most stable polymorph in this dataset, the calculation gives 0.101 eV/f.u.